(1)
DFT (meta-GGA SCAN) results for a PBEsol-optimized structure of Tl2TcOsN.

```
Tl2TcOsN
1.0
5.318 0.000 0.000
0.000 5.318 0.000
0.000 0.000 3.626
Tl Tc Os N
2 1 1 1
direct
0.000 0.500 0.000
0.500 0.000 0.000
0.000 0.000 0.000
0.500 0.500 0.500
0.000 0.000 0.500
```

Output
Spin magnetization, μB/f.u.: 3.72
Volume, Å³ per cell: 102.6
Symmetry: No. 123
D(E_F), states/eV per cell: 1.664
Energy, eV per cell: -254.25


(2)
DFT (meta-GGA SCAN) results for a PBEsol-optimized structure of HfTiBe2.

```
HfTiBe2
1.0
0.000 3.003 3.003
3.003 0.000 3.003
3.003 3.003 0.000
Hf Ti Be
1 1 2
direct
0.000 0.000 0.000
0.500 0.500 0.500
0.250 0.250 0.250
0.750 0.750 0.750
```

Output
Spin magnetization, μB/f.u.: 0.00
Formation energy, eV per atom: -0.12
Volume, Å³ per cell: 54.1
Symmetry: No. 225
D(E_F), states/eV per cell: 1.091


(3)
DFT (meta-GGA SCAN) results for a PBEsol-optimized structure of GaCo2SiSb.

```
GaCo2SiSb
1.0
4.227 0.000 0.000
0.000 4.227 0.000
0.000 0.000 5.196
Ga Co Si Sb
1 2 1 1
direct
0.000 0.000 0.000
0.000 0.500 0.500
0.500 0.000 0.500
0.500 0.500 0.500
0.500 0.500 0.000
```

Output
Spin magnetization, μB/f.u.: 2.73
Volume, Å³ per cell: 92.8
Symmetry: No. 123
D(E_F), states/eV per cell: 3.364
Energy, eV per cell: -94.31


(4)
DFT (meta-GGA SCAN) results for a PBEsol-optimized structure of AcInHg2.

```
AcInHg2
1.0
0.000 3.758 3.758
3.758 0.000 3.758
3.758 3.758 0.000
Ac In Hg
1 1 2
direct
0.000 0.000 0.000
0.500 0.500 0.500
0.250 0.250 0.250
0.750 0.750 0.750
```

Output
Spin magnetization, μB/f.u.: 0.00
Formation energy, eV per atom: -0.58
Volume, Å³ per cell: 106.1
Symmetry: No. 225
D(E_F), states/eV per cell: 1.356


(5)
DFT (meta-GGA SCAN) results for a PBEsol-optimized structure of TiNiF3.

```
TiNiF3
1.0
3.964 0.000 0.000
0.000 3.964 0.000
0.000 0.000 3.964
Ti Ni F
1 1 3
direct
0.000 0.000 0.000
0.500 0.500 0.500
0.000 0.000 0.500
0.000 0.500 0.000
0.500 0.000 0.000
```

Output
Spin magnetization, μB/f.u.: 2.43
Volume, Å³ per cell: 62.3
Symmetry: No. 221
D(E_F), states/eV per cell: 8.484
Energy, eV per cell: -52.29


(6)
DFT (meta-GGA SCAN) results for a PBEsol-optimized structure of GaP2O.

```
GaP2O
1.0
-2.237 2.237 6.223
2.237 -2.237 6.223
2.237 2.237 -6.223
Ga P O
2 4 2
direct
0.000 0.000 0.000
0.750 0.250 0.500
0.238 0.625 0.113
0.375 0.488 0.613
0.512 0.125 0.887
0.875 0.762 0.387
0.250 0.750 0.500
0.500 0.500 0.000
```

Output
Spin magnetization, μB/f.u.: 0.00
Volume, Å³ per cell: 124.6
Symmetry: No. 122
D(E_F), states/eV per cell: 4.105
Energy, eV per cell: -85.84


(7)
DFT (meta-GGA SCAN) results for a PBEsol-optimized structure of OsRuPt2.

```
OsRuPt2
1.0
-1.917 1.917 3.865
1.917 -1.917 3.865
1.917 1.917 -3.865
Os Ru Pt
1 1 2
direct
0.000 0.000 0.000
0.250 0.750 0.500
0.500 0.500 0.000
0.750 0.250 0.500
```

Output
Spin magnetization, μB/f.u.: 0.00
Formation energy, eV per atom: 0.07
Volume, Å³ per cell: 56.8
Symmetry: No. 119
D(E_F), states/eV per cell: 3.524
E above lowest polymorph, meV/atom: 79.1


(8)
DFT (meta-GGA SCAN) results for a PBEsol-optimized structure of LiCdTc2.

```
LiCdTc2
1.0
0.000 3.076 3.076
3.076 0.000 3.076
3.076 3.076 0.000
Li Cd Tc
1 1 2
direct
0.000 0.000 0.000
0.750 0.750 0.750
0.250 0.250 0.250
0.500 0.500 0.500
```

Output
Spin magnetization, μB/f.u.: 0.00
Formation energy, eV per atom: 0.23
Volume, Å³ per cell: 58.2
Symmetry: No. 216
D(E_F), states/eV per cell: 2.681


(9)
DFT (meta-GGA SCAN) results for a PBEsol-optimized structure of CaZr2Pb.

```
CaZr2Pb
1.0
3.211 0.000 0.000
0.000 5.530 0.000
-0.478 0.000 5.556
Ca Zr Pb
1 2 1
direct
0.000 0.000 0.000
0.307 0.500 0.736
0.693 0.500 0.264
0.500 0.000 0.500
```

Output
Spin magnetization, μB/f.u.: 0.00
Formation energy, eV per atom: -0.05
Volume, Å³ per cell: 98.7
Symmetry: No. 10
D(E_F), states/eV per cell: 2.981


(10)
DFT (meta-GGA SCAN) results for a PBEsol-optimized structure of KSiTc.

```
KSiTc
1.0
0.000 3.361 3.361
3.361 0.000 3.361
3.361 3.361 0.000
K Si Tc
1 1 1
direct
0.000 0.000 0.000
0.750 0.750 0.750
0.250 0.250 0.250
```

Output
Spin magnetization, μB/f.u.: 3.78
Volume, Å³ per cell: 75.9
Symmetry: No. 216
D(E_F), states/eV per cell: 1.969
Energy, eV per cell: -46.91


(11)
DFT (meta-GGA SCAN) results for a PBEsol-optimized structure of PbAu2.

```
PbAu2
1.0
-1.902 1.902 9.336
1.902 -1.902 9.336
1.902 1.902 -9.336
Pb Au
2 4
direct
0.375 0.625 0.750
0.625 0.375 0.250
0.051 0.801 0.250
0.199 0.949 0.250
0.801 0.051 0.750
0.949 0.199 0.750
```

Output
Spin magnetization, μB/f.u.: 0.00
Formation energy, eV per atom: 0.03
Volume, Å³ per cell: 135.1
Symmetry: No. 141
D(E_F), states/eV per cell: 2.248


(12)
DFT (meta-GGA SCAN) results for a PBEsol-optimized structure of Mn2CdCl.

```
Mn2CdCl
1.0
-1.475 2.278 5.365
1.475 -2.278 5.365
1.475 2.278 -5.365
Mn Cd Cl
2 1 1
direct
0.000 0.000 0.000
0.793 0.293 0.500
0.338 0.838 0.500
0.610 0.610 0.000
```

Output
Spin magnetization, μB/f.u.: 8.02
Volume, Å³ per cell: 72.1
Symmetry: No. 44
D(E_F), states/eV per cell: 1.990
E above lowest polymorph, meV/atom: 137.0


(13)
DFT (meta-GGA SCAN) results for a PBEsol-optimized structure of HF.

```
HF
1.0
1.419 -2.158 0.000
1.419 2.158 0.000
0.000 0.000 5.447
H F
2 2
direct
0.080 0.920 0.750
0.920 0.080 0.250
0.144 0.856 0.250
0.856 0.144 0.750
```

Output
Spin magnetization, μB/f.u.: 0.00
Volume, Å³ per cell: 33.3
Symmetry: No. 63
D(E_F), states/eV per cell: 0.000
E above lowest polymorph, meV/atom: 38.3